[1]
Pr8AlGa3Br4 (GGA-PBE, optimized geometry); final energy = -4.467 eV per atom; total magnetic moment = 0.0 μB/f.u.; SG = No. 166; ρ = 5.86 g/cm3
1.0
-7.1339 1.3254 -4.7610
2.6630 -6.2192 -5.7216
-0.7052 -1.9967 8.4106
Pr Al Ga Br
8 1 3 4
direct
0.2458 0.7319 0.9863
0.2458 0.7319 0.4916
0.2577 0.2733 0.5154
0.7404 0.7319 0.9863
0.2596 0.2681 0.0137
0.7423 0.7267 0.4846
0.7542 0.2681 0.5084
0.7542 0.2681 0.0137
0.0000 0.5000 0.0000
0.5000 0.5000 0.0000
0.5000 0.5000 0.5000
0.0000 0.5000 0.5000
0.5000 0.0000 0.0000
0.5000 0.0000 0.5000
0.0000 0.0000 0.0000
0.0000 0.0000 0.5000



[2]
Rb2AlGaBr6 (GGA-PBE, optimized geometry); final energy = -3.116 eV per atom; total magnetic moment = 0.0 μB/f.u.; SG = No. 225; ρ = 3.66 g/cm3
1.0
-1.4135 6.9548 3.2947
-0.2647 -3.3917 7.0462
4.6013 2.6031 5.7703
Ga Br Rb Al
1 6 2 1
direct
0.0000 0.0000 0.0000
0.2707 0.2707 0.4586
0.7293 0.7293 0.5414
0.2707 0.2707 0.0000
0.7293 0.7293 0.0000
0.7293 0.2707 0.0000
0.2707 0.7293 0.0000
0.7500 0.2500 0.5000
0.2500 0.7500 0.5000
0.5000 0.5000 0.0000



[3]
AlGaRh2Br (GGA-PBE, optimized geometry); final energy = -3.960 eV per atom; total magnetic moment = 0.7 μB/f.u.; SG = No. 123; ρ = 6.10 g/cm3
1.0
4.7032 0.0000 0.0000
0.0000 4.7048 0.0000
0.0000 0.0000 4.7032
Rh Ga Br Al
2 1 1 1
direct
0.0000 0.0000 0.5000
0.5000 0.0000 0.0000
0.0000 0.0000 0.0000
0.5000 0.5000 0.5000
0.0000 0.5000 0.0000



[4]
AlGaSeBr2 (GGA-PBE, optimized geometry); final energy = -3.183 eV per atom; total magnetic moment = 0.0 μB/f.u.; SG = No. 123; ρ = 4.20 g/cm3; E above lowest polymorph = 0 kJ/mol of formula units
1.0
-0.6680 3.8140 3.4621
-1.9934 -3.4105 3.3726
4.4908 -0.8462 1.7986
Ga Se Br Al
1 1 2 1
direct
0.5000 0.5000 0.5000
0.0000 0.0000 0.5000
0.0000 0.5000 0.0000
0.5000 0.0000 0.0000
0.0000 0.0000 0.0000



[5]
AlGaTe2Br (GGA-PBE, optimized geometry); final energy = -2.783 eV per atom; total magnetic moment = 0.0 μB/f.u.; SG = No. 123; ρ = 4.67 g/cm3
1.0
-2.3324 3.4025 3.5238
-4.1816 0.6496 -3.3950
-2.4549 -4.0181 2.2549
Te Ga Br Al
2 1 1 1
direct
0.0000 0.5000 0.0000
0.5000 0.0000 0.0000
0.0000 0.0000 0.0000
0.0000 0.0000 0.5000
0.5000 0.5000 0.5000



[6]
Al2TlGaBr8 (GGA-PBE, optimized geometry); final energy = -3.190 eV per atom; total magnetic moment = 0.0 μB/f.u.; SG = No. 148; ρ = 3.77 g/cm3
1.0
-6.4041 0.7443 2.7563
-0.8307 0.0990 6.9616
-1.2573 10.2262 3.2356
Al Tl Ga Br
2 1 1 8
direct
0.2448 0.2448 0.2656
0.7552 0.7552 0.7344
0.5000 0.5000 0.5000
0.0000 0.0000 0.0000
0.1677 0.1677 0.4968
0.5657 0.3054 0.1904
0.8323 0.8323 0.5032
0.9384 0.5657 0.1904
0.0616 0.4343 0.8096
0.3054 0.9384 0.1904
0.6946 0.0616 0.8096
0.4343 0.6946 0.8096



Copy entry 1 word for word.
Pr8AlGa3Br4 (GGA-PBE, optimized geometry); final energy = -4.467 eV per atom; total magnetic moment = 0.0 μB/f.u.; SG = No. 166; ρ = 5.86 g/cm3
1.0
-7.1339 1.3254 -4.7610
2.6630 -6.2192 -5.7216
-0.7052 -1.9967 8.4106
Pr Al Ga Br
8 1 3 4
direct
0.2458 0.7319 0.9863
0.2458 0.7319 0.4916
0.2577 0.2733 0.5154
0.7404 0.7319 0.9863
0.2596 0.2681 0.0137
0.7423 0.7267 0.4846
0.7542 0.2681 0.5084
0.7542 0.2681 0.0137
0.0000 0.5000 0.0000
0.5000 0.5000 0.0000
0.5000 0.5000 0.5000
0.0000 0.5000 0.5000
0.5000 0.0000 0.0000
0.5000 0.0000 0.5000
0.0000 0.0000 0.0000
0.0000 0.0000 0.5000